(1)
Computed, not measured: Ca2ZrNi after structural relaxation at the PBE-GGA level of DFT.

The value obtained for the energy above the most stable polymorph in this dataset is 0.000 eV/atom.

The space group is P4mm (No. 99) and the conventional cell measures 3.435, 3.435 and 9.165 Å, with angles of 90.00, 90.00 and 90.00 degrees. The distinct sites, in fractional coordinates, are Ca at (0.000, 0.000, 0.000), Ca at (0.500, 0.500, 0.362), Zr at (0.500, 0.500, 0.712) and Ni at (0.000, 0.000, 0.599).


(2)
Computed, not measured: CaZr3Ni after structural relaxation at the PBE-GGA level of DFT.

The value obtained for the energy above the most stable polymorph in this dataset is 0.000 eV/atom.

The space group is Pm-3m (No. 221) and the conventional cell measures 5.014, 5.014 and 5.014 Å, with angles of 90.00, 90.00 and 90.00 degrees. The distinct sites, in fractional coordinates, are Ca at (0.000, 0.000, 0.000), Zr at (0.000, 0.500, 0.500) and Ni at (0.500, 0.500, 0.500).


(3)
Computed, not measured: CaZrNi4 after structural relaxation at the PBE-GGA level of DFT.

The space group is F-43m (No. 216) and the conventional cell measures 7.055, 7.055 and 7.055 Å, with angles of 90.00, 90.00 and 90.00 degrees. The distinct sites, in fractional coordinates, are Ca at (0.000, 0.000, 0.000), Zr at (0.250, 0.250, 0.750) and Ni at (0.125, 0.125, 0.375).


(4)
Computed, not measured: Ca2ZrNi after structural relaxation at the PBE-GGA level of DFT.

The value obtained for the energy above the most stable polymorph in this dataset is 0.277 eV/atom.

The space group is P4/mmm (No. 123) and the conventional cell measures 3.326, 3.326 and 8.857 Å, with angles of 90.00, 90.00 and 90.00 degrees. The distinct sites, in fractional coordinates, are Ca at (0.000, 0.000, 0.196), Zr at (0.500, 0.500, 0.500) and Ni at (0.500, 0.500, 0.000).


Number 1: formation enthalpy at 0 K -31 meV/atom, volume 27.0 Å³/atom. Number 2: formation enthalpy at 0 K 242 meV/atom, volume 25.2 Å³/atom. Number 3: formation enthalpy at 0 K -268 meV/atom, volume 14.6 Å³/atom. Number 4: formation enthalpy at 0 K 246 meV/atom, volume 24.5 Å³/atom.